# 1
# ErBiO3 | Alexandria | PBE | optimized geometry
data_ErBiO3
_space_group_name_H-M_alt 'C 1 2/m 1'
_space_group_IT_number 12
_cell_length_a 12.0932
_cell_length_b 4.0083
_cell_length_c 6.7395
_cell_angle_alpha 90.00
_cell_angle_beta 96.56
_cell_angle_gamma 90.00
loop_
_space_group_symop_operation_xyz
'x,y,z'
'-x,-y,-z'
'-x,y,-z'
'x,-y,z'
'x+1/2,y+1/2,z'
'-x+1/2,-y+1/2,-z'
'-x+1/2,y+1/2,-z'
'x+1/2,-y+1/2,z'
loop_
_atom_site_label
_atom_site_fract_x
_atom_site_fract_y
_atom_site_fract_z
_atom_site_occupancy
Er1 0.1302 0.0000 0.4147 1
Bi1 0.1321 0.5000 0.8616 1
O1 0.0481 0.0000 0.7083 1
O2 0.1714 0.5000 0.5340 1
O3 0.1861 0.0000 0.1062 1
# E_form (uncorrected) in kJ/mol of atoms: -230.9
# Fermi-level density of states in states/eV/cell: 0.0

# 2
# Ca2MnCu2 | Alexandria | PBE | optimized geometry
data_Ca2MnCu2
_space_group_name_H-M_alt 'I 4/m m m'
_space_group_IT_number 139
_space_group_name_Hall '-I 4 2'
_cell_length_a 5.6355
_cell_length_b 5.6355
_cell_length_c 7.4105
_cell_angle_alpha 90.00
_cell_angle_beta 90.00
_cell_angle_gamma 90.00
loop_
_atom_site_label
_atom_site_fract_x
_atom_site_fract_y
_atom_site_fract_z
_atom_site_occupancy
Ca1 0.0000 0.5000 0.2500 1
Mn1 0.0000 0.0000 0.0000 1
Cu1 0.0000 0.0000 0.3421 1
# Formation energy from the elements in eV per atom: 0.254
# Fermi-level density of states in states/eV/cell: 8.9

# 3
# Tm2PaSe4 | Alexandria | PBE | optimized geometry
data_Tm2PaSe4
_space_group_name_H-M_alt 'P 3 m 1'
_space_group_IT_number 156
_cell_length_a 4.1373
_cell_length_b 4.1373
_cell_length_c 15.2528
_cell_angle_alpha 90.00
_cell_angle_beta 90.00
_cell_angle_gamma 120.00
loop_
_space_group_symop_operation_xyz
'x,y,z'
'-y,x-y,z'
'-x+y,-x,z'
'-y,-x,z'
'-x+y,y,z'
'x,x-y,z'
loop_
_atom_site_label
_atom_site_fract_x
_atom_site_fract_y
_atom_site_fract_z
_atom_site_occupancy
Tm1 0.0000 0.0000 0.0000 1
Tm2 0.3333 0.6667 0.2802 1
Pa1 0.6667 0.3333 0.5692 1
Se1 0.0000 0.0000 0.1792 1
Se2 0.0000 0.0000 0.6700 1
Se3 0.6667 0.3333 0.3803 1
Se4 0.6667 0.3333 0.9198 1
# E_form (uncorrected) in kJ/mol of atoms: -127.3
# Fermi-level density of states in states/eV/cell: 6.2

# 4
# Tc2NiPb | Alexandria | PBE | optimized geometry
data_Tc2NiPb
_space_group_name_H-M_alt 'I m m 2'
_space_group_IT_number 44
_cell_length_a 4.0676
_cell_length_b 4.0905
_cell_length_c 7.5582
_cell_angle_alpha 90.00
_cell_angle_beta 90.00
_cell_angle_gamma 90.00
loop_
_space_group_symop_operation_xyz
'x,y,z'
'-x,-y,z'
'-x,y,z'
'x,-y,z'
'x+1/2,y+1/2,z+1/2'
'-x+1/2,-y+1/2,z+1/2'
'-x+1/2,y+1/2,z+1/2'
'x+1/2,-y+1/2,z+1/2'
loop_
_atom_site_label
_atom_site_fract_x
_atom_site_fract_y
_atom_site_fract_z
_atom_site_occupancy
Tc1 0.0000 0.0000 0.0000 1
Tc2 0.0000 0.5000 0.2512 1
Ni1 0.0000 0.5000 0.7504 1
Pb1 0.0000 0.0000 0.5004 1
# Formation energy from the elements in eV per atom: 0.464
# Fermi-level density of states in states/eV/cell: 8.4

# 5
# PaVCrTc | Alexandria | PBE | optimized geometry
data_PaVCrTc
_space_group_name_H-M_alt 'F -4 3 m'
_space_group_IT_number 216
_space_group_name_Hall 'F -4 2 3'
_cell_length_a 6.3772
_cell_length_b 6.3772
_cell_length_c 6.3772
_cell_angle_alpha 90.00
_cell_angle_beta 90.00
_cell_angle_gamma 90.00
loop_
_atom_site_label
_atom_site_fract_x
_atom_site_fract_y
_atom_site_fract_z
_atom_site_occupancy
Pa1 0.0000 0.0000 0.0000 1
V1 0.0000 0.0000 0.5000 1
Cr1 0.2500 0.2500 0.7500 1
Tc1 0.2500 0.2500 0.2500 1
# Formation energy from the elements in eV per atom: 0.023
# Fermi-level density of states in states/eV/cell: 12.9

# 6
# Li2UCu2Te4 | Alexandria | PBE | optimized geometry
data_Li2UCu2Te4
_space_group_name_H-M_alt 'C 1 2/m 1'
_space_group_IT_number 12
_cell_length_a 15.4299
_cell_length_b 4.1602
_cell_length_c 8.5578
_cell_angle_alpha 90.00
_cell_angle_beta 119.59
_cell_angle_gamma 90.00
loop_
_space_group_symop_operation_xyz
'x,y,z'
'-x,-y,-z'
'-x,y,-z'
'x,-y,z'
'x+1/2,y+1/2,z'
'-x+1/2,-y+1/2,-z'
'-x+1/2,y+1/2,-z'
'x+1/2,-y+1/2,z'
loop_
_atom_site_label
_atom_site_fract_x
_atom_site_fract_y
_atom_site_fract_z
_atom_site_occupancy
Li1 0.1249 0.0000 0.2250 1
U1 0.0000 0.0000 0.5000 1
Cu1 0.1813 0.5000 0.4900 1
Te1 0.0069 0.5000 0.7691 1
Te2 0.2270 0.0000 0.7131 1
# E_form (uncorrected) in kJ/mol of atoms: -55.2
# Fermi-level density of states in states/eV/cell: 9.9